Material: CsHgC3S3N3
Method: DFT, PBE-GGA
State: optimized geometry

abc: 9.533 10.926 20.015
angles: 90.00 108.07 90.00
Space group P2_1/c (No. 14)
One atom of each set of equivalent atoms:
Cs  0.029  0.219  0.073
Cs  0.416  0.742  0.830
Hg  0.085  0.230  0.866
Hg  0.479  0.736  0.090
C  0.052  0.516  0.279
C  0.196  0.604  0.146
C  0.252  0.579  0.614
C  0.305  0.147  0.262
C  0.310  0.006  0.955
C  0.312  0.012  0.523
S  0.001  0.125  0.751
S  0.026  0.587  0.092
S  0.300  0.153  0.973
S  0.310  0.091  0.339
S  0.321  0.621  0.985
S  0.432  0.577  0.652
N  0.086  0.617  0.296
N  0.122  0.576  0.587
N  0.299  0.185  0.206
N  0.301  0.107  0.549
N  0.318  0.616  0.184
N  0.323  0.600  0.447

---

Material: CsHoC2O6
Method: DFT, PBE-GGA
State: optimized geometry

abc: 8.768 9.360 6.997
angles: 90.00 109.77 90.00
Space group C2/c (No. 15)
One atom of each set of equivalent atoms:
Cs  0.000  0.107  0.250
Ho  0.000  0.401  0.750
C  0.222  0.377  0.245
O  0.082  0.380  0.097
O  0.172  0.220  0.739
O  0.245  0.479  0.377

---

Material: CsHo4CSe2
Method: DFT, PBE-GGA
State: optimized geometry

abc: 3.7635 3.7635 17.9811
angles: 90.00 90.00 120.00
Space group P-3m1 (No. 164)
One atom of each set of equivalent atoms:
Cs  0.0000  0.0000  0.0000
Ho  0.3333  0.6667  0.2095
Ho  0.3333  0.6667  0.4279
C  0.0000  0.0000  0.5000
Se  0.3333  0.6667  0.6848

---

The following final energy values (in eV/cell) correspond, in order, to the records above: -528.1 -299.0 -41.8.